Computed, not measured: crystalline Sm2YSn3PdPt2 at its relaxed geometry at the PBE level of DFT.

Electronic total energy in eV/atom: -6.059

CIF file:
```
data_Sm2YSn3PdPt2
_chemical_formula_sum 'Sm2 Y1 Sn3 Pd1 Pt2'
_cell_length_a 4.080
_cell_length_b 7.572
_cell_length_c 7.572
_cell_angle_alpha 119.84
_cell_angle_beta 90.00
_cell_angle_gamma 90.00
_symmetry_space_group_name_H-M 'P 1'
_symmetry_Int_Tables_number 1
_symmetry_space_group_name_Hall 'P 1'
loop_
_atom_site_label
_atom_site_type_symbol
_atom_site_fract_x
_atom_site_fract_y
_atom_site_fract_z
Sn1 Sn 0.500 0.744 0.999
Sn2 Sn 0.500 0.255 0.255
Sm1 Sm 0.000 0.411 0.000
Sn3 Sn 0.500 0.999 0.744
Pd1 Pd 0.000 0.998 0.998
Y1 Y 0.000 0.591 0.591
Sm2 Sm 0.000 0.000 0.411
Pt1 Pt 0.500 0.665 0.336
Pt2 Pt 0.500 0.336 0.665
```

Computed, not measured: crystalline SmZn3PdPt at its relaxed geometry at the PBE level of DFT.

ΔH_f (0 K) in eV per atom: -0.691

CIF file:
```
data_SmZn3PdPt
_chemical_formula_sum 'Sm1 Zn3 Pd1 Pt1'
_cell_length_a 5.349
_cell_length_b 5.349
_cell_length_c 4.305
_cell_angle_alpha 90.00
_cell_angle_beta 90.00
_cell_angle_gamma 120.00
_symmetry_space_group_name_H-M 'P 1'
_symmetry_Int_Tables_number 1
_symmetry_space_group_name_Hall 'P 1'
loop_
_atom_site_label
_atom_site_type_symbol
_atom_site_fract_x
_atom_site_fract_y
_atom_site_fract_z
Zn1 Zn 0.167 0.333 0.500
Zn2 Zn 0.667 0.833 0.500
Sm1 Sm 0.667 0.333 0.000
Pt1 Pt 0.000 0.000 0.000
Zn3 Zn 0.167 0.833 0.500
Pd1 Pd 0.333 0.667 0.000
```

Computed, not measured: crystalline Sm3Zn3PdPt2 at its relaxed geometry at the PBE level of DFT.

ΔH_f (0 K) in eV per atom: -0.867

CIF file:
```
data_Sm3Zn3PdPt2
_chemical_formula_sum 'Sm3 Zn3 Pd1 Pt2'
_cell_length_a 7.385
_cell_length_b 7.385
_cell_length_c 3.926
_cell_angle_alpha 90.00
_cell_angle_beta 90.00
_cell_angle_gamma 120.00
_symmetry_space_group_name_H-M 'P 1'
_symmetry_Int_Tables_number 1
_symmetry_space_group_name_Hall 'P 1'
loop_
_atom_site_label
_atom_site_type_symbol
_atom_site_fract_x
_atom_site_fract_y
_atom_site_fract_z
Zn1 Zn 0.247 0.000 0.500
Sm1 Sm 0.407 0.407 0.000
Pd1 Pd 0.000 0.000 0.000
Pt1 Pt 0.667 0.333 0.500
Sm2 Sm 0.000 0.593 0.000
Zn2 Zn 0.000 0.247 0.500
Zn3 Zn 0.753 0.753 0.500
Sm3 Sm 0.593 0.000 0.000
Pt2 Pt 0.333 0.667 0.500
```

Computed, not measured: crystalline SnPd2Pt2 at its relaxed geometry at the PBE level of DFT.

Electronic total energy in eV/atom: -5.444

CIF file:
```
data_SnPd2Pt2
_chemical_formula_sum 'Sn2 Pd4 Pt4'
_cell_length_a 6.845
_cell_length_b 6.845
_cell_length_c 3.784
_cell_angle_alpha 90.00
_cell_angle_beta 90.00
_cell_angle_gamma 90.00
_symmetry_space_group_name_H-M 'P 1'
_symmetry_Int_Tables_number 1
_symmetry_space_group_name_Hall 'P 1'
loop_
_atom_site_label
_atom_site_type_symbol
_atom_site_fract_x
_atom_site_fract_y
_atom_site_fract_z
Sn1 Sn 0.500 0.500 0.000
Pt1 Pt 0.638 0.138 0.000
Pd1 Pd 0.660 0.840 0.500
Pd2 Pd 0.840 0.340 0.500
Sn2 Sn 0.000 0.000 0.000
Pd3 Pd 0.160 0.660 0.500
Pt2 Pt 0.138 0.362 0.000
Pd4 Pd 0.340 0.160 0.500
Pt3 Pt 0.862 0.638 0.000
Pt4 Pt 0.362 0.862 0.000
```

Computed, not measured: crystalline Sr2Sn4PdPt at its relaxed geometry at the PBE level of DFT.

Electronic total energy in eV/atom: -4.534

CIF file:
```
data_Sr2Sn4PdPt
_chemical_formula_sum 'Sr2 Sn4 Pd1 Pt1'
_cell_length_a 7.731
_cell_length_b 6.283
_cell_length_c 6.283
_cell_angle_alpha 41.85
_cell_angle_beta 90.00
_cell_angle_gamma 90.00
_symmetry_space_group_name_H-M 'P 1'
_symmetry_Int_Tables_number 1
_symmetry_space_group_name_Hall 'P 1'
loop_
_atom_site_label
_atom_site_type_symbol
_atom_site_fract_x
_atom_site_fract_y
_atom_site_fract_z
Pt1 Pt 0.500 0.708 0.708
Sn1 Sn 0.299 0.150 0.150
Sn2 Sn 0.701 0.150 0.150
Sn3 Sn 0.799 0.852 0.852
Sr1 Sr 0.000 0.566 0.566
Pd1 Pd 0.000 0.291 0.291
Sn4 Sn 0.201 0.852 0.852
Sr2 Sr 0.500 0.433 0.433
```

Computed, not measured: crystalline SrSn2PdPt at its relaxed geometry at the PBE level of DFT.

Electronic total energy in eV/atom: -4.922

CIF file:
```
data_SrSn2PdPt
_chemical_formula_sum 'Sr2 Sn4 Pd2 Pt2'
_cell_length_a 4.628
_cell_length_b 4.628
_cell_length_c 11.036
_cell_angle_alpha 90.00
_cell_angle_beta 90.00
_cell_angle_gamma 90.00
_symmetry_space_group_name_H-M 'P 1'
_symmetry_Int_Tables_number 1
_symmetry_space_group_name_Hall 'P 1'
loop_
_atom_site_label
_atom_site_type_symbol
_atom_site_fract_x
_atom_site_fract_y
_atom_site_fract_z
Sr1 Sr 0.000 0.500 0.756
Sn1 Sn 0.500 0.000 0.876
Sn2 Sn 0.000 0.000 0.500
Pt1 Pt 0.000 0.000 0.000
Sn3 Sn 0.000 0.500 0.124
Sn4 Sn 0.500 0.500 0.500
Sr2 Sr 0.500 0.000 0.244
Pt2 Pt 0.500 0.500 0.000
Pd1 Pd 0.500 0.000 0.634
Pd2 Pd 0.000 0.500 0.366
```

Computed, not measured: crystalline Tb3Sn3PdPt2 at its relaxed geometry at the PBE level of DFT.

Electronic total energy in eV/atom: -5.849

CIF file:
```
data_Tb3Sn3PdPt2
_chemical_formula_sum 'Tb3 Sn3 Pd1 Pt2'
_cell_length_a 7.555
_cell_length_b 7.555
_cell_length_c 4.025
_cell_angle_alpha 90.00
_cell_angle_beta 90.00
_cell_angle_gamma 120.00
_symmetry_space_group_name_H-M 'P 1'
_symmetry_Int_Tables_number 1
_symmetry_space_group_name_Hall 'P 1'
loop_
_atom_site_label
_atom_site_type_symbol
_atom_site_fract_x
_atom_site_fract_y
_atom_site_fract_z
Pt1 Pt 0.667 0.333 0.500
Tb1 Tb 0.408 0.408 0.000
Sn1 Sn 0.257 0.000 0.500
Sn2 Sn 0.743 0.743 0.500
Tb2 Tb 0.592 0.000 0.000
Pt2 Pt 0.333 0.667 0.500
Sn3 Sn 0.000 0.257 0.500
Tb3 Tb 0.000 0.592 0.000
Pd1 Pd 0.000 0.000 0.000
```

Computed, not measured: crystalline Tb3Sn3Pd2Pt at its relaxed geometry at the PBE level of DFT.

Electronic total energy in eV/atom: -5.686

CIF file:
```
data_Tb3Sn3Pd2Pt
_chemical_formula_sum 'Tb3 Sn3 Pd2 Pt1'
_cell_length_a 7.543
_cell_length_b 7.543
_cell_length_c 4.037
_cell_angle_alpha 90.00
_cell_angle_beta 90.00
_cell_angle_gamma 120.00
_symmetry_space_group_name_H-M 'P 1'
_symmetry_Int_Tables_number 1
_symmetry_space_group_name_Hall 'P 1'
loop_
_atom_site_label
_atom_site_type_symbol
_atom_site_fract_x
_atom_site_fract_y
_atom_site_fract_z
Pt1 Pt 0.000 0.000 0.000
Sn1 Sn 0.000 0.258 0.500
Sn2 Sn 0.742 0.742 0.500
Tb1 Tb 0.405 0.405 0.000
Tb2 Tb 0.595 0.000 0.000
Pd1 Pd 0.333 0.667 0.500
Pd2 Pd 0.667 0.333 0.500
Sn3 Sn 0.258 0.000 0.500
Tb3 Tb 0.000 0.595 0.000
```

no.,total magnetization (μB/f.u.)
1,0.01
2,0.00
3,0.00
4,0.00
5,0.00
6,0.01
7,0.00
8,0.01